Material: TbPr4Nd2
Method: DFT, GGA-PBE
State: optimized geometry

Results
DFT formation energy: 0.009 eV per atom
Energy above the lowest structure with this stoichiometry: 0 meV/atom
M_tot: 0.00 μB/cell
Calculated volume: 35.3 Å³ per atom

Lattice parameters (Å, degrees): 3.6875 3.6875 62.9790 90.00 90.00 120.00
Space group R-3m (No. 166, hexagonal axes)
Asymmetric unit:
Tb 0.0000 0.0000 0.0000
Pr 0.0000 0.0000 0.1425
Pr 0.0000 0.0000 0.2867
Nd 0.0000 0.0000 0.4280



Material: TbPr12Nd6
Method: DFT, GGA-PBE
State: optimized geometry

Results
DFT formation energy: 0.121 eV per atom
Energy above the lowest structure with this stoichiometry: 0 meV/atom
M_tot: 0.00 μB/cell
Calculated volume: 36.2 Å³ per atom

Lattice parameters (Å, degrees): 12.4004 12.4004 15.5026 90.00 90.00 120.00
Space group R-3 (No. 148, hexagonal axes)
Asymmetric unit:
Tb 0.0000 0.0000 0.0000
Pr 0.0012 0.1721 0.1900
Pr 0.0485 0.1975 0.4166
Nd 0.0144 0.5900 0.6861



Material: Tb12Pr2Nd5
Method: DFT, GGA-PBE
State: optimized geometry

Results
DFT formation energy: 0.109 eV per atom
Energy above the lowest structure with this stoichiometry: 0 meV/atom
M_tot: 0.00 μB/cell
Calculated volume: 33.8 Å³ per atom

Lattice parameters (Å, degrees): 12.3718 7.1962 15.1109 90.00 107.55 90.00
Space group C2/m (No. 12)
Asymmetric unit:
Tb 0.0884 0.2455 0.2867
Tb 0.1538 0.5000 0.6946
Tb 0.1584 0.0000 0.6989
Tb 0.1698 0.2619 0.8926
Pr 0.0000 0.2497 0.5000
Nd 0.0000 0.0000 0.0000
Nd 0.0975 0.5000 0.0951
Nd 0.2490 0.5000 0.4998



Material: Tb2Pr5Nd2
Method: DFT, GGA-PBE
State: optimized geometry

Results
DFT formation energy: 0.015 eV per atom
Energy above the lowest structure with this stoichiometry: 0 meV/atom
M_tot: 0.00 μB/cell
Calculated volume: 35.1 Å³ per atom

Lattice parameters (Å, degrees): 11.6416 5.1981 11.0135 90.00 108.62 90.00
Space group C2/m (No. 12)
Asymmetric unit:
Tb 0.1668 0.0000 0.2227
Pr 0.0000 0.5000 0.0000
Pr 0.1664 0.0000 0.8888
Pr 0.1674 0.0000 0.5553
Nd 0.0010 0.5000 0.6681



Material: Tb2Pr6Nd
Method: DFT, GGA-PBE
State: optimized geometry

Results
DFT formation energy: 0.172 eV per atom
Energy above the lowest structure with this stoichiometry: 0 meV/atom
M_tot: 0.00 μB/cell
Calculated volume: 35.9 Å³ per atom

Lattice parameters (Å, degrees): 11.9447 3.5190 15.6940 90.00 101.95 90.00
Space group C2/m (No. 12)
Asymmetric unit:
Tb 0.1669 0.0000 0.1658
Pr 0.0414 0.5000 0.7314
Pr 0.1258 0.0000 0.9376
Pr 0.2074 0.0000 0.3946
Nd 0.0000 0.5000 0.5000



Material: Tb5Pr4Nd2
Method: DFT, GGA-PBE
State: optimized geometry

Results
DFT formation energy: 0.102 eV per atom
Energy above the lowest structure with this stoichiometry: 0 meV/atom
M_tot: 0.00 μB/cell
Calculated volume: 34.3 Å³ per atom

Lattice parameters (Å, degrees): 19.5003 5.7749 6.7076 90.00 91.07 90.00
Space group C2/m (No. 12)
Asymmetric unit:
Tb 0.0000 0.0000 0.0000
Tb 0.1314 0.5000 0.8933
Tb 0.2096 0.5000 0.4008
Pr 0.0211 0.5000 0.2828
Pr 0.1953 0.0000 0.0784
Nd 0.0978 0.0000 0.5526